(1)
This record from the Alexandria database describes crystalline BaSeOF2 at its relaxed geometry. The functional is PBE.

abc: 5.032 5.032 5.227
angles: 90.00 90.00 90.00
Element x y z (fractional)
Ba (0.000, 0.000, 0.000)
Se (0.500, 0.500, 0.500)
O (0.000, 0.000, 0.500)
F (0.000, 0.500, 0.000)
F (0.500, 0.000, 0.000)

## Properties
E_form (uncorrected) ... -116.9 kJ per mole of atoms
Energy ... -20.17 eV per formula unit
DOS at the Fermi energy ... 0.9204 states/eV/atom
Energy above the most stable polymorph in this dataset ... 2.92 eV/f.u.

(2)
This record from the Alexandria database describes crystalline Pm2Pr12Nd5 at its relaxed geometry. The functional is PBE.

abc: 10.962 10.962 6.360
angles: 100.72 100.72 66.26
Element x y z (fractional)
Pm (0.228, 0.772, 0.000)
Pm (0.772, 0.228, 0.000)
Pr (0.058, 0.545, 0.799)
Pr (0.121, 0.121, 0.995)
Pr (0.151, 0.644, 0.383)
Pr (0.356, 0.849, 0.617)
Pr (0.446, 0.446, 0.727)
Pr (0.455, 0.942, 0.201)
Pr (0.545, 0.058, 0.799)
Pr (0.554, 0.554, 0.273)
Pr (0.644, 0.151, 0.383)
Pr (0.849, 0.356, 0.617)
Pr (0.879, 0.879, 0.005)
Pr (0.942, 0.455, 0.201)
Nd (0.000, 0.000, 0.500)
Nd (0.213, 0.213, 0.550)
Nd (0.324, 0.324, 0.144)
Nd (0.676, 0.676, 0.856)
Nd (0.787, 0.787, 0.450)

## Properties
Energy ... -89.05 eV per formula unit
DOS at the Fermi energy ... 1.4589 states/eV/atom
Energy above the most stable polymorph in this dataset ... 0.00 eV/f.u.
Energy of formation from the pure elements ... 1.6 eV per formula unit

(3)
This record from the Alexandria database describes crystalline Ce5PaSi4 at its relaxed geometry. The functional is PBE.

abc: 7.199 10.309 7.131
angles: 90.00 90.00 90.00
Element x y z (fractional)
Ce (0.042, 0.028, 0.188)
Ce (0.042, 0.472, 0.188)
Ce (0.250, 0.750, 0.453)
Ce (0.458, 0.028, 0.188)
Ce (0.458, 0.472, 0.188)
Ce (0.542, 0.528, 0.812)
Ce (0.542, 0.972, 0.812)
Ce (0.750, 0.250, 0.547)
Ce (0.958, 0.528, 0.812)
Ce (0.958, 0.972, 0.812)
Pa (0.250, 0.250, 0.788)
Pa (0.750, 0.750, 0.212)
Si (0.092, 0.750, 0.049)
Si (0.250, 0.040, 0.538)
Si (0.250, 0.460, 0.538)
Si (0.408, 0.750, 0.049)
Si (0.592, 0.250, 0.951)
Si (0.750, 0.540, 0.462)
Si (0.750, 0.960, 0.462)
Si (0.908, 0.250, 0.951)

## Properties
E_form (uncorrected) ... -14.8 kJ per mole of atoms
Energy ... -62.39 eV per formula unit
DOS at the Fermi energy ... 2.6322 states/eV/atom

(4)
This record from the Alexandria database describes crystalline ScTi5Ga6 at its relaxed geometry. The functional is PBE.

abc: 6.216 6.216 5.399
angles: 95.70 95.70 88.79
Element x y z (fractional)
Sc (0.000, 0.000, 0.000)
Ti (0.171, 0.829, 0.500)
Ti (0.342, 0.658, 0.000)
Ti (0.500, 0.500, 0.500)
Ti (0.658, 0.342, 0.000)
Ti (0.829, 0.171, 0.500)
Ga (0.077, 0.426, 0.250)
Ga (0.250, 0.250, 0.730)
Ga (0.426, 0.077, 0.250)
Ga (0.574, 0.923, 0.750)
Ga (0.750, 0.750, 0.270)
Ga (0.923, 0.574, 0.750)

## Properties
Energy ... -67.29 eV per formula unit
DOS at the Fermi energy ... 1.0195 states/eV/atom
Energy above the most stable polymorph in this dataset ... 2.23 eV/f.u.
Energy of formation from the pure elements ... -3.3 eV per formula unit

(5)
This record from the Alexandria database describes crystalline Sr2CaAg6 at its relaxed geometry. The functional is PBE.

abc: 8.400 8.400 3.817
angles: 90.00 90.00 120.00
Element x y z (fractional)
Sr (0.333, 0.667, 0.000)
Sr (0.667, 0.333, 0.000)
Ca (0.000, 0.000, 0.000)
Ag (0.000, 0.331, 0.500)
Ag (0.000, 0.669, 0.500)
Ag (0.331, 0.000, 0.500)
Ag (0.331, 0.331, 0.500)
Ag (0.669, 0.000, 0.500)
Ag (0.669, 0.669, 0.500)

## Properties
Energy ... -24.91 eV per formula unit
DOS at the Fermi energy ... 0.2709 states/eV/atom
Energy of formation from the pure elements ... -2.4 eV per formula unit

(6)
This record from the Alexandria database describes crystalline NaBO2 at its relaxed geometry. The functional is PBE.

abc: 6.759 8.538 4.044
angles: 90.00 126.04 90.00
Element x y z (fractional)
Na (0.000, 0.169, 0.250)
Na (0.000, 0.831, 0.750)
Na (0.500, 0.331, 0.750)
Na (0.500, 0.669, 0.250)
B (0.000, 0.496, 0.750)
B (0.000, 0.504, 0.250)
B (0.500, 0.004, 0.250)
B (0.500, 0.996, 0.750)
O (0.143, 0.409, 0.637)
O (0.143, 0.591, 0.137)
O (0.357, 0.091, 0.363)
O (0.357, 0.909, 0.863)
O (0.643, 0.091, 0.137)
O (0.643, 0.909, 0.637)
O (0.857, 0.409, 0.863)
O (0.857, 0.591, 0.363)

## Properties
E_form (uncorrected) ... -210.4 kJ per mole of atoms
Energy ... -26.63 eV per formula unit
DOS at the Fermi energy ... 0.0000 states/eV/atom

(7)
This record from the Alexandria database describes crystalline HoTmNiOs at its relaxed geometry. The functional is PBE.

abc: 6.727 6.727 6.727
angles: 90.00 90.00 90.00
Element x y z (fractional)
Ho (0.000, 0.000, 0.000)
Ho (0.000, 0.500, 0.500)
Ho (0.500, 0.000, 0.500)
Ho (0.500, 0.500, 0.000)
Tm (0.000, 0.000, 0.500)
Tm (0.000, 0.500, 0.000)
Tm (0.500, 0.000, 0.000)
Tm (0.500, 0.500, 0.500)
Ni (0.250, 0.250, 0.250)
Ni (0.250, 0.750, 0.750)
Ni (0.750, 0.250, 0.750)
Ni (0.750, 0.750, 0.250)
Os (0.250, 0.250, 0.750)
Os (0.250, 0.750, 0.250)
Os (0.750, 0.250, 0.250)
Os (0.750, 0.750, 0.750)

## Properties
Energy ... -27.47 eV per formula unit
DOS at the Fermi energy ... 0.4124 states/eV/atom
Energy of formation from the pure elements ... -1.4 eV per formula unit

(8)
This record from the Alexandria database describes crystalline TlIn2P at its relaxed geometry. The functional is PBE.

abc: 3.772 3.772 7.502
angles: 90.00 90.00 90.00
Element x y z (fractional)
Tl (0.000, 0.000, 0.000)
In (0.000, 0.000, 0.556)
In (0.500, 0.500, 0.276)
P (0.500, 0.500, 0.642)

## Properties
Energy ... -12.83 eV per formula unit
DOS at the Fermi energy ... 0.4260 states/eV/atom
Energy above the most stable polymorph in this dataset ... 0.46 eV/f.u.
Energy of formation from the pure elements ... 0.4 eV per formula unit

(9)
This record from the Alexandria database describes crystalline PuCd2Hg9 at its relaxed geometry. The functional is PBE.

abc: 4.529 4.947 13.494
angles: 90.00 90.00 90.00
Element x y z (fractional)
Pu (0.000, 0.000, 0.000)
Cd (0.000, 0.000, 0.338)
Cd (0.000, 0.000, 0.662)
Hg (0.000, 0.500, 0.169)
Hg (0.000, 0.500, 0.500)
Hg (0.000, 0.500, 0.831)
Hg (0.500, 0.000, 0.174)
Hg (0.500, 0.000, 0.500)
Hg (0.500, 0.000, 0.826)
Hg (0.500, 0.500, 0.000)
Hg (0.500, 0.500, 0.335)
Hg (0.500, 0.500, 0.665)

## Properties
Energy ... -19.21 eV per formula unit
DOS at the Fermi energy ... 1.4141 states/eV/atom
Energy of formation from the pure elements ... -0.3 eV per formula unit

(10)
This record from the Alexandria database describes crystalline Zn2NiIr at its relaxed geometry. The functional is PBE.

abc: 2.700 3.750 5.284
angles: 90.00 90.00 90.00
Element x y z (fractional)
Zn (0.000, 0.000, 0.000)
Zn (0.500, 0.500, 0.269)
Ni (0.500, 0.500, 0.770)
Ir (0.000, 0.000, 0.512)

## Properties
Energy ... -17.56 eV per formula unit
DOS at the Fermi energy ... 0.7675 states/eV/atom
Energy of formation from the pure elements ... -0.4 eV per formula unit

(11)
This record from the Alexandria database describes crystalline LaNbCr at its relaxed geometry. The functional is PBE.

abc: 5.012 4.609 5.985
angles: 90.00 100.22 90.00
Element x y z (fractional)
La (0.245, 0.250, 0.414)
La (0.755, 0.750, 0.586)
Nb (0.330, 0.750, 0.975)
Nb (0.670, 0.250, 0.025)
Cr (0.100, 0.250, 0.905)
Cr (0.900, 0.750, 0.095)

## Properties
Energy ... -23.45 eV per formula unit
DOS at the Fermi energy ... 1.0881 states/eV/atom
Energy above the most stable polymorph in this dataset ... 0.07 eV/f.u.
Energy of formation from the pure elements ... 1.2 eV per formula unit

(12)
This record from the Alexandria database describes crystalline Te2PtPb at its relaxed geometry. The functional is PBE.

abc: 12.914 3.946 5.407
angles: 90.00 114.63 90.00
Element x y z (fractional)
Te (0.154, 0.000, 0.154)
Te (0.346, 0.500, 0.846)
Te (0.654, 0.500, 0.154)
Te (0.846, 0.000, 0.846)
Pt (0.000, 0.500, 0.000)
Pt (0.500, 0.000, 0.000)
Pb (0.000, 0.000, 0.500)
Pb (0.500, 0.500, 0.500)

## Properties
E_form (uncorrected) ... -22.5 kJ per mole of atoms
Energy ... -16.96 eV per formula unit
DOS at the Fermi energy ... 0.4963 states/eV/atom